No. 1
Be3CuSb | PBE-GGA | relaxed

POSCAR file:
```
Be3CuSb
1.0
-3.701 0.996 -1.658
1.420 -1.032 -3.789
-1.313 -3.922 0.576
Sb Be Cu
1 3 1
Direct
0.500 0.500 0.500
0.000 0.000 0.500
0.500 0.000 0.000
0.000 0.500 0.000
0.000 0.000 0.000
```

## Properties
**Formation energy from raw total energies**: 0.62 eV/atom
**Excess energy over the best structure of this formula in the dataset**: 0 meV per atom
**DOS(E_F)**: 1.655 states/eV/cell
**Crystal system**: cubic
**ρ**: 4841 kg/m³

***

No. 2
Sc2SiPb | PBE-GGA | relaxed

POSCAR file:
```
Sc2SiPb
1.0
-0.672 -3.324 3.618
-4.116 -2.764 0.094
0.246 -4.848 -1.010
Sc Pb Si
2 1 1
Direct
0.750 0.750 0.750
0.250 0.250 0.250
0.500 0.500 0.500
0.000 0.000 0.000
```

## Properties
**Formation energy from raw total energies**: -0.24 eV/atom
**Excess energy over the best structure of this formula in the dataset**: 200 meV per atom
**DOS(E_F)**: 6.390 states/eV/cell
**Crystal system**: cubic
**ρ**: 6264 kg/m³

***

No. 3
Fe2HgAu | PBE-GGA | relaxed

POSCAR file:
```
Fe2HgAu
1.0
4.860 -0.039 0.051
3.932 2.856 0.051
1.044 0.335 4.731
Fe Au Hg
2 1 1
Direct
0.998 0.998 0.047
0.502 0.502 0.453
0.250 0.250 0.250
0.750 0.750 0.750
```

## Properties
**E_tot**: -18.926 eV per cell
**DOS(E_F)**: 3.132 states/eV/cell
**Crystal system**: monoclinic
**ρ**: 12768 kg/m³

***

No. 4
Ca2AsPb | PBE-GGA | relaxed

POSCAR file:
```
Ca2AsPb
1.0
-1.449 4.220 8.161
-3.094 0.684 8.745
0.797 1.148 9.196
Pb Ca As
1 2 1
Direct
0.250 0.250 0.250
0.016 0.016 0.016
0.484 0.484 0.484
0.750 0.750 0.750
```

## Properties
**Excess energy over the best structure of this formula in the dataset**: 53 meV per atom
**DOS(E_F)**: 3.942 states/eV/cell
**Crystal system**: trigonal
**ρ**: 4952 kg/m³